No. 1
# NaFe2PdPb

An optimized crystal structure of NaFe2PdPb (PBE-GGA, Alexandria via LeMat-Bulk).

Lattice parameters (Å, degrees): 4.953 4.953 5.386 90.00 90.00 90.00
Fractional coordinates of all 5 atoms:
Na 0.000 0.000 0.000
Fe 0.000 0.500 0.500
Fe 0.500 0.000 0.500
Pd 0.500 0.500 0.000
Pb 0.000 0.000 0.500

No. 2
# RbNa2FePb

An optimized crystal structure of RbNa2FePb (PBE-GGA, Alexandria via LeMat-Bulk).

Lattice parameters (Å, degrees): 5.818 5.818 5.149 90.00 90.00 90.00
Fractional coordinates of all 5 atoms:
Rb 0.000 0.000 0.000
Na 0.000 0.500 0.500
Na 0.500 0.000 0.500
Fe 0.500 0.500 0.500
Pb 0.500 0.500 0.000

No. 3
# Na2FeRePb

An optimized crystal structure of Na2FeRePb (PBE-GGA, Alexandria via LeMat-Bulk).

Lattice parameters (Å, degrees): 5.449 5.449 5.373 90.00 90.00 90.00
Fractional coordinates of all 5 atoms:
Na 0.000 0.500 0.000
Na 0.500 0.000 0.000
Fe 0.000 0.000 0.500
Re 0.500 0.500 0.500
Pb 0.500 0.500 0.000

No. 4
# Na2FePd2

An optimized crystal structure of Na2FePd2 (PBE-GGA, Alexandria via LeMat-Bulk).

Lattice parameters (Å, degrees): 6.445 6.445 4.763 90.00 90.00 90.00
Fractional coordinates of all 10 atoms:
Na 0.171 0.329 0.000
Na 0.329 0.829 0.000
Na 0.671 0.171 0.000
Na 0.829 0.671 0.000
Fe 0.000 0.000 0.500
Fe 0.500 0.500 0.500
Pd 0.143 0.643 0.500
Pd 0.357 0.143 0.500
Pd 0.643 0.857 0.500
Pd 0.857 0.357 0.500

No. 5
# NaTl2FePd

An optimized crystal structure of NaTl2FePd (PBE-GGA, Alexandria via LeMat-Bulk).

Lattice parameters (Å, degrees): 5.308 5.308 4.772 90.00 90.00 90.00
Fractional coordinates of all 5 atoms:
Na 0.000 0.000 0.000
Tl 0.000 0.500 0.000
Tl 0.500 0.000 0.000
Fe 0.000 0.000 0.500
Pd 0.500 0.500 0.500

No. 6
# NaPm2Fe

An optimized crystal structure of NaPm2Fe (PBE-GGA, Alexandria via LeMat-Bulk).

Lattice parameters (Å, degrees): 3.468 3.468 9.426 90.00 90.00 90.00
Fractional coordinates of all 4 atoms:
Na 0.000 0.000 0.000
Pm 0.500 0.500 0.324
Pm 0.500 0.500 0.676
Fe 0.000 0.000 0.500

No. 7
# Na3FePt

An optimized crystal structure of Na3FePt (PBE-GGA, Alexandria via LeMat-Bulk).

Lattice parameters (Å, degrees): 5.424 5.424 5.424 90.00 90.00 90.00
Fractional coordinates of all 5 atoms:
Na 0.000 0.000 0.500
Na 0.000 0.500 0.000
Na 0.500 0.000 0.000
Fe 0.500 0.500 0.500
Pt 0.000 0.000 0.000

No. 8
# NaFePt3

An optimized crystal structure of NaFePt3 (PBE-GGA, Alexandria via LeMat-Bulk).

Lattice parameters (Å, degrees): 4.666 4.666 4.666 90.00 90.00 90.00
Fractional coordinates of all 5 atoms:
Na 0.000 0.000 0.000
Fe 0.500 0.500 0.500
Pt 0.000 0.500 0.500
Pt 0.500 0.000 0.500
Pt 0.500 0.500 0.000

Results
E above lowest polymorph: 0 meV per atom

Calculated values (meV per atom) of E_form for the records, taken in order: 1370 338 1824 160 1201 142 769 527.
Calculated values (eV per atom) of total DFT energy (no corrections) for the records, taken in order: -4.06 -2.82 -3.63 -4.14 -2.74 -4.68 -2.92 -5.05.